[1]
First-principles (PBE) data for crystalline Mg3Pd at its relaxed geometry, as listed in the Alexandria database.

Results
Total moment (μB per formula unit): 0.0
Fermi-level density of states (states/eV per atom): 0.397
DFT formation energy (eV per atom): -0.37

The structure in CIF format:
```
data_Mg3Pd
_cell_length_a 4.186
_cell_length_b 4.186
_cell_length_c 4.229
_cell_angle_alpha 90.00
_cell_angle_beta 90.00
_cell_angle_gamma 90.00
_space_group_name_H-M_alt 'P 4/m m m'
_space_group_IT_number 123
_space_group_name_Hall '-P 4 2'
loop_
_atom_site_label
_atom_site_type_symbol
_atom_site_fract_x
_atom_site_fract_y
_atom_site_fract_z
Mg1 Mg 0.000 0.000 0.000
Mg2 Mg 0.000 0.500 0.500
Pd1 Pd 0.500 0.500 0.000
```

[2]
First-principles (PBE) data for crystalline Li2Ga8Rh at its relaxed geometry, as listed in the Alexandria database.

Results
Total moment (μB per formula unit): 0.0
Relative energy among the computed polymorphs (meV/atom): 0
Fermi-level density of states (states/eV per atom): 0.348
DFT formation energy (eV per atom): -0.27

The structure in CIF format:
```
data_Li2Ga8Rh
_cell_length_a 4.146
_cell_length_b 4.146
_cell_length_c 10.911
_cell_angle_alpha 90.00
_cell_angle_beta 90.00
_cell_angle_gamma 90.00
_space_group_name_H-M_alt 'P 4/m m m'
_space_group_IT_number 123
_space_group_name_Hall '-P 4 2'
loop_
_atom_site_label
_atom_site_type_symbol
_atom_site_fract_x
_atom_site_fract_y
_atom_site_fract_z
Li1 Li 0.000 0.000 0.191
Ga1 Ga 0.000 0.500 0.000
Ga2 Ga 0.000 0.500 0.366
Ga3 Ga 0.500 0.500 0.188
Rh1 Rh 0.000 0.000 0.500
```

[3]
First-principles (PBE) data for crystalline Tb6Cu5Os at its relaxed geometry, as listed in the Alexandria database.

Results
Total moment (μB per formula unit): 0.0
Fermi-level density of states (states/eV per atom): 0.781
DFT formation energy (eV per atom): -0.24

The structure in CIF format:
```
data_Tb6Cu5Os
_cell_length_a 4.922
_cell_length_b 6.952
_cell_length_c 14.737
_cell_angle_alpha 90.00
_cell_angle_beta 90.00
_cell_angle_gamma 90.00
_space_group_name_H-M_alt 'I m m m'
_space_group_IT_number 71
_space_group_name_Hall '-I 2 2'
loop_
_atom_site_label
_atom_site_type_symbol
_atom_site_fract_x
_atom_site_fract_y
_atom_site_fract_z
Tb1 Tb 0.000 0.243 0.000
Tb2 Tb 0.000 0.254 0.336
Cu1 Cu 0.000 0.000 0.167
Cu2 Cu 0.000 0.000 0.500
Cu3 Cu 0.000 0.500 0.166
Os1 Os 0.000 0.500 0.500
```